Crystalline Ho6CoHg at its relaxed geometry. Source: Alexandria, functional GGA-PBE.

Its density of states at the Fermi level is 10.96 states/eV/cell. For the total magnetic moment, the calculation gives 0.0 μB/cell. The energy of formation is -0.1 eV/f.u.

Lattice parameters (Å, degrees): 6.7301 6.7478 7.3104 90.15 117.20 119.90
With the nearest neighbours (Å) after each atom.
Space group P-1 (No. 2)
Unique sites:
Ho1 0.0469 0.0893 0.2615 [2 per cell]  1 Co 2.59
Ho2 0.3035 0.7142 0.2610 [2 per cell]  1 Co 2.59
Ho3 0.3259 0.5414 0.7389 [2 per cell]  1 Co 2.59
Co1 0.5000 0.5000 0.5000 [1 per cell]  6 Ho 2.59
Hg1 0.5000 0.0000 0.0000 [1 per cell]  6 Ho 2.98-2.99


Crystalline Ho3CoHg at its relaxed geometry. Source: Alexandria, functional GGA-PBE.

Its density of states at the Fermi level is 9.31 states/eV/cell. Its offset from the most stable computed form is 0.0 meV/atom. For the total magnetic moment, the calculation gives 0.0 μB/cell. The energy of formation is -1.4 eV/f.u.

Lattice parameters (Å, degrees): 5.4858 6.4522 8.2191 69.91 77.74 65.62
With the nearest neighbours (Å) after each atom.
Space group P-1 (No. 2)
Unique sites:
Ho1 0.0352 0.1625 0.1192 [2 per cell]  3 Co 2.72-2.90
Ho2 0.3632 0.1828 0.6885 [2 per cell]  1 Co 2.62
Ho3 0.3708 0.4654 0.2232 [2 per cell]  2 Co 2.65-2.74
Co1 0.4415 0.8375 0.9803 [2 per cell]  1 Co 2.57, 5 Ho 2.62-2.81
Hg1 0.1105 0.7359 0.5192 [2 per cell]  1 Hg 3.03, 5 Ho 3.13-3.22